Material: Pr2Ge3IrPt4
Method: DFT, PBE-GGA
State: relaxed

Values from the calculation:
The density of states at the Fermi level is 0.81 states/eV/atom. The formation energy is -0.762 eV per atom.

a b c (Å): 4.3101 4.3101 10.5361
angles (deg): 90.00 90.00 90.00
Sites, in units of the cell vectors:
Pr 0.0000 0.5000 0.2447
Pr 0.5000 0.0000 0.7553
Ge 0.0000 0.0000 0.0000
Ge 0.0000 0.5000 0.6287
Ge 0.5000 0.0000 0.3713
Ir 0.5000 0.5000 0.0000
Pt 0.0000 0.0000 0.5000
Pt 0.0000 0.5000 0.8595
Pt 0.5000 0.0000 0.1405
Pt 0.5000 0.5000 0.5000